# Sr2ScSn, optimized geometry, DFT PBE
# **Theoretical density**: 3.89 Mg/m³
# **DOS at the Fermi energy**: 16.0 states/eV per cell
# **E_form**: 153 meV/atom
# **Total moment**: 0.00 μB/f.u.
data_Sr2ScSn
_symmetry_space_group_name_H-M 'I -4 2 d'
_symmetry_Int_Tables_number 122
_symmetry_space_group_name_Hall 'I -4 2bw'
_cell_length_a 9.3434
_cell_length_b 9.3434
_cell_length_c 6.6329
_cell_angle_alpha 90.00
_cell_angle_beta 90.00
_cell_angle_gamma 90.00
loop_
_atom_site_label
_atom_site_fract_x
_atom_site_fract_y
_atom_site_fract_z
Sr1 0.2195 0.2500 0.1250
Sc1 0.0000 0.0000 0.5000
Sn1 0.0000 0.0000 0.0000

=====

# Zr3VSb, optimized geometry, DFT PBE
# **Theoretical density**: 6.37 Mg/m³
# **DOS at the Fermi energy**: 8.6 states/eV per cell
# **E above lowest polymorph**: 0.000 eV/f.u.
# **Total moment**: 0.15 μB/f.u.
data_Zr3VSb
_symmetry_space_group_name_H-M 'P m -3 m'
_symmetry_Int_Tables_number 221
_symmetry_space_group_name_Hall '-P 4 2 3'
_cell_length_a 4.8830
_cell_length_b 4.8830
_cell_length_c 4.8830
_cell_angle_alpha 90.00
_cell_angle_beta 90.00
_cell_angle_gamma 90.00
loop_
_atom_site_label
_atom_site_fract_x
_atom_site_fract_y
_atom_site_fract_z
Zr1 0.0000 0.0000 0.5000
V1 0.0000 0.0000 0.0000
Sb1 0.5000 0.5000 0.5000

=====

# ZnInSe2, optimized geometry, DFT PBE
# **Theoretical density**: 4.32 Mg/m³
# **DOS at the Fermi energy**: 6.4 states/eV per cell
# **Uncorrected energy**: -3.01 eV/atom
# **Total moment**: 0.00 μB/f.u.
data_ZnInSe2
_symmetry_space_group_name_H-M 'R -3 m'
_symmetry_Int_Tables_number 166
_symmetry_space_group_name_Hall '-R 3 2"'
_cell_length_a 4.4955
_cell_length_b 4.4955
_cell_length_c 22.2996
_cell_angle_alpha 90.00
_cell_angle_beta 90.00
_cell_angle_gamma 120.00
loop_
_atom_site_label
_atom_site_fract_x
_atom_site_fract_y
_atom_site_fract_z
Zn1 0.0000 0.0000 0.0000
In1 0.0000 0.0000 0.5000
Se1 0.0000 0.0000 0.1022

=====

# SbSCl2, optimized geometry, DFT PBE
# **Theoretical density**: 4.03 Mg/m³
# **DOS at the Fermi energy**: 8.0 states/eV per cell
# **E above lowest polymorph**: 2.246 eV/f.u.
# **Total moment**: 0.00 μB/f.u.
data_SbSCl2
_symmetry_space_group_name_H-M 'R -3 m'
_symmetry_Int_Tables_number 166
_symmetry_space_group_name_Hall '-R 3 2"'
_cell_length_a 3.3869
_cell_length_b 3.3869
_cell_length_c 27.9617
_cell_angle_alpha 90.00
_cell_angle_beta 90.00
_cell_angle_gamma 120.00
loop_
_atom_site_label
_atom_site_fract_x
_atom_site_fract_y
_atom_site_fract_z
Sb1 0.0000 0.0000 0.0000
S1 0.0000 0.0000 0.5000
Cl1 0.0000 0.0000 0.4182

=====

# Nb6VRe5, optimized geometry, DFT PBE
# **Theoretical density**: 12.98 Mg/m³
# **DOS at the Fermi energy**: 13.4 states/eV per cell
# **E_form**: -265 meV/atom
# **Total moment**: 0.00 μB/f.u.
data_Nb6VRe5
_symmetry_space_group_name_H-M 'I m m m'
_symmetry_Int_Tables_number 71
_symmetry_space_group_name_Hall '-I 2 2'
_cell_length_a 4.5325
_cell_length_b 6.3995
_cell_length_c 13.5834
_cell_angle_alpha 90.00
_cell_angle_beta 90.00
_cell_angle_gamma 90.00
loop_
_atom_site_label
_atom_site_fract_x
_atom_site_fract_y
_atom_site_fract_z
Nb1 0.0000 0.2485 0.0000
Nb2 0.0000 0.2509 0.3338
V1 0.0000 0.5000 0.5000
Re1 0.0000 0.0000 0.1668
Re2 0.0000 0.0000 0.5000
Re3 0.0000 0.5000 0.1665

=====

# SrLaAg2, optimized geometry, DFT PBE
# **Theoretical density**: 6.38 Mg/m³
# **DOS at the Fermi energy**: 8.1 states/eV per cell
# **E_form**: -118 meV/atom
# **Total moment**: 0.00 μB/f.u.
data_SrLaAg2
_symmetry_space_group_name_H-M 'I m m 2'
_symmetry_Int_Tables_number 44
_symmetry_space_group_name_Hall 'I 2 -2'
_cell_length_a 3.7645
_cell_length_b 5.2500
_cell_length_c 11.6463
_cell_angle_alpha 90.00
_cell_angle_beta 90.00
_cell_angle_gamma 90.00
loop_
_atom_site_label
_atom_site_fract_x
_atom_site_fract_y
_atom_site_fract_z
Sr1 0.0000 0.0000 0.0000
La1 0.0000 0.5000 0.2065
Ag1 0.0000 0.0000 0.4581
Ag2 0.0000 0.5000 0.7670

=====

# Na4PmPu3S8, optimized geometry, DFT PBE
# **Theoretical density**: 5.37 Mg/m³
# **DOS at the Fermi energy**: 83.1 states/eV per cell
# **Uncorrected energy**: -6.99 eV/atom
# **Total moment**: 15.00 μB/f.u.
data_Na4PmPu3S8
_symmetry_space_group_name_H-M 'R -3 m'
_symmetry_Int_Tables_number 166
_symmetry_space_group_name_Hall '-R 3 2"'
_cell_length_a 8.1200
_cell_length_b 8.1200
_cell_length_c 19.9024
_cell_angle_alpha 90.00
_cell_angle_beta 90.00
_cell_angle_gamma 120.00
loop_
_atom_site_label
_atom_site_fract_x
_atom_site_fract_y
_atom_site_fract_z
Na1 0.0000 0.0000 0.0000
Na2 0.0000 0.5000 0.0000
Pm1 0.0000 0.0000 0.5000
Pu1 0.0000 0.5000 0.5000
S1 0.0000 0.0000 0.2409
S2 0.0042 0.5021 0.7569

=====

# NaCu3O2, optimized geometry, DFT PBE
# **Theoretical density**: 5.39 Mg/m³
# **DOS at the Fermi energy**: 4.8 states/eV per cell
# **Uncorrected energy**: -4.57 eV/atom
# **Total moment**: 0.00 μB/f.u.
data_NaCu3O2
_symmetry_space_group_name_H-M 'C 1 2/m 1'
_symmetry_Int_Tables_number 12
_symmetry_space_group_name_Hall '-C 2y'
_cell_length_a 13.0096
_cell_length_b 3.0368
_cell_length_c 9.9844
_cell_angle_alpha 90.00
_cell_angle_beta 129.91
_cell_angle_gamma 90.00
loop_
_atom_site_label
_atom_site_fract_x
_atom_site_fract_y
_atom_site_fract_z
Na1 0.1797 0.0000 0.0621
Cu1 0.0300 0.0000 0.6594
Cu2 0.0815 0.5000 0.2499
Cu3 0.1404 0.5000 0.5696
O1 0.0932 0.5000 0.8310
O2 0.2387 0.5000 0.2876

=====

# NaPdI, optimized geometry, DFT PBE
# **Theoretical density**: 5.71 Mg/m³
# **DOS at the Fermi energy**: 0.1 states/eV per cell
# **E above lowest polymorph**: 0.341 eV/f.u.
# **Total moment**: 0.00 μB/f.u.
data_NaPdI
_symmetry_space_group_name_H-M 'F -4 3 m'
_symmetry_Int_Tables_number 216
_symmetry_space_group_name_Hall 'F -4 2 3'
_cell_length_a 6.6811
_cell_length_b 6.6811
_cell_length_c 6.6811
_cell_angle_alpha 90.00
_cell_angle_beta 90.00
_cell_angle_gamma 90.00
loop_
_atom_site_label
_atom_site_fract_x
_atom_site_fract_y
_atom_site_fract_z
Na1 0.0000 0.0000 0.0000
Pd1 0.2500 0.2500 0.7500
I1 0.0000 0.0000 0.5000

=====

# Ba2SnPd4, optimized geometry, DFT PBE
# **Theoretical density**: 6.57 Mg/m³
# **DOS at the Fermi energy**: 10.9 states/eV per cell
# **E_form**: -269 meV/atom
# **E above lowest polymorph**: 1.505 eV/f.u.
# **Total moment**: 0.00 μB/f.u.
data_Ba2SnPd4
_symmetry_space_group_name_H-M 'I 4/m m m'
_symmetry_Int_Tables_number 139
_symmetry_space_group_name_Hall '-I 4 2'
_cell_length_a 5.1171
_cell_length_b 5.1171
_cell_length_c 15.8043
_cell_angle_alpha 90.00
_cell_angle_beta 90.00
_cell_angle_gamma 90.00
loop_
_atom_site_label
_atom_site_fract_x
_atom_site_fract_y
_atom_site_fract_z
Ba1 0.0000 0.0000 0.1391
Sn1 0.0000 0.0000 0.5000
Pd1 0.0000 0.0000 0.3359
Pd2 0.0000 0.5000 0.0000

=====

# HgTeS2Br, optimized geometry, DFT PBE
# **Theoretical density**: 4.59 Mg/m³
# **Uncorrected energy**: -2.77 eV/atom
# **Total moment**: 0.00 μB/f.u.
data_HgTeS2Br
_symmetry_space_group_name_H-M 'P 1 21/m 1'
_symmetry_Int_Tables_number 11
_symmetry_space_group_name_Hall '-P 2yb'
_cell_length_a 6.8279
_cell_length_b 6.5954
_cell_length_c 7.6592
_cell_angle_alpha 90.00
_cell_angle_beta 97.66
_cell_angle_gamma 90.00
loop_
_atom_site_label
_atom_site_fract_x
_atom_site_fract_y
_atom_site_fract_z
Hg1 0.1509 0.2500 0.4101
Te1 0.1449 0.2500 0.9006
S1 0.0799 0.7500 0.3762
S2 0.1015 0.7500 0.9226
Br1 0.4712 0.2500 0.2769

=====

# HoUSe2O, optimized geometry, DFT PBE
# **Theoretical density**: 8.82 Mg/m³
# **DOS at the Fermi energy**: 17.5 states/eV per cell
# **Uncorrected energy**: -7.66 eV/atom
# **Total moment**: 2.46 μB/f.u.
data_HoUSe2O
_symmetry_space_group_name_H-M 'P 4/n m m'
_symmetry_Int_Tables_number 129
_cell_length_a 3.9513
_cell_length_b 3.9513
_cell_length_c 13.9078
_cell_angle_alpha 90.00
_cell_angle_beta 90.00
_cell_angle_gamma 90.00
loop_
_symmetry_equiv_pos_as_xyz
'x,y,z'
'-x,-y,-z'
'-y+1/2,x,z'
'y+1/2,-x,-z'
'-x+1/2,-y+1/2,z'
'x+1/2,y+1/2,-z'
'y,-x+1/2,z'
'-y,x+1/2,-z'
'x+1/2,-y,-z'
'-x+1/2,y,z'
'-y,-x,-z'
'y,x,z'
'-x,y+1/2,-z'
'x,-y+1/2,z'
'y+1/2,x+1/2,-z'
'-y+1/2,-x+1/2,z'
loop_
_atom_site_label
_atom_site_fract_x
_atom_site_fract_y
_atom_site_fract_z
Ho1 0.2500 0.2500 0.1021
U1 0.2500 0.2500 0.5904
Se1 0.2500 0.2500 0.3083
Se2 0.2500 0.2500 0.8909
O1 0.2500 0.7500 0.5000

=====

# AlBrCl2, optimized geometry, DFT PBE
# **Theoretical density**: 2.48 Mg/m³
# **DOS at the Fermi energy**: 4.4 states/eV per cell
# **E above lowest polymorph**: 3.457 eV/f.u.
# **Total moment**: 0.68 μB/f.u.
data_AlBrCl2
_symmetry_space_group_name_H-M 'C m m m'
_symmetry_Int_Tables_number 65
_symmetry_space_group_name_Hall '-C 2 2'
_cell_length_a 3.1344
_cell_length_b 7.7472
_cell_length_c 9.8238
_cell_angle_alpha 90.00
_cell_angle_beta 90.00
_cell_angle_gamma 90.00
loop_
_atom_site_label
_atom_site_fract_x
_atom_site_fract_y
_atom_site_fract_z
Al1 0.0000 0.0000 0.0000
Br1 0.0000 0.0000 0.5000
Cl1 0.0000 0.5000 0.1699

=====

# Tm4HgTe5, optimized geometry, DFT PBE
# **Theoretical density**: 6.90 Mg/m³
# **DOS at the Fermi energy**: 1.3 states/eV per cell
# **Uncorrected energy**: -4.46 eV/atom
# **Total moment**: 0.00 μB/f.u.
data_Tm4HgTe5
_symmetry_space_group_name_H-M 'C 1 2/m 1'
_symmetry_Int_Tables_number 12
_symmetry_space_group_name_Hall '-C 2y'
_cell_length_a 19.8445
_cell_length_b 4.2383
_cell_length_c 9.0050
_cell_angle_alpha 90.00
_cell_angle_beta 105.80
_cell_angle_gamma 90.00
loop_
_atom_site_label
_atom_site_fract_x
_atom_site_fract_y
_atom_site_fract_z
Tm1 0.0233 0.0000 0.2472
Tm2 0.1661 0.5000 0.5430
Hg1 0.0000 0.5000 0.5000
Te1 0.0000 0.5000 0.0000
Te2 0.1248 0.0000 0.7361
Te3 0.1791 0.0000 0.3057

=====

# GaSnPd2W, optimized geometry, DFT PBE
# **Theoretical density**: 8.55 Mg/m³
# **DOS at the Fermi energy**: 7.2 states/eV per cell
# **E_form**: 1586 meV/atom
# **Total moment**: 0.00 μB/f.u.
data_GaSnPd2W
_symmetry_space_group_name_H-M 'P 4/m m m'
_symmetry_Int_Tables_number 123
_symmetry_space_group_name_Hall '-P 4 2'
_cell_length_a 4.8044
_cell_length_b 4.8044
_cell_length_c 4.9219
_cell_angle_alpha 90.00
_cell_angle_beta 90.00
_cell_angle_gamma 90.00
loop_
_atom_site_label
_atom_site_fract_x
_atom_site_fract_y
_atom_site_fract_z
Ga1 0.0000 0.0000 0.0000
Sn1 0.0000 0.0000 0.5000
Pd1 0.0000 0.5000 0.5000
W1 0.5000 0.5000 0.0000

=====

# Hf2NiSn, optimized geometry, DFT PBE
# **Theoretical density**: 10.85 Mg/m³
# **DOS at the Fermi energy**: 8.7 states/eV per cell
# **E_form**: -69 meV/atom
# **Total moment**: 0.00 μB/f.u.
data_Hf2NiSn
_symmetry_space_group_name_H-M 'I -4 2 d'
_symmetry_Int_Tables_number 122
_symmetry_space_group_name_Hall 'I -4 2bw'
_cell_length_a 7.4504
_cell_length_b 7.4504
_cell_length_c 5.8953
_cell_angle_alpha 90.00
_cell_angle_beta 90.00
_cell_angle_gamma 90.00
loop_
_atom_site_label
_atom_site_fract_x
_atom_site_fract_y
_atom_site_fract_z
Hf1 0.1977 0.2500 0.1250
Ni1 0.0000 0.0000 0.0000
Sn1 0.0000 0.0000 0.5000

=====

# LiYC, optimized geometry, DFT PBE
# **Theoretical density**: 3.78 Mg/m³
# **DOS at the Fermi energy**: 0.0 states/eV per cell
# **E_form**: 665 meV/atom
# **E above lowest polymorph**: 2.400 eV/f.u.
# **Total moment**: 0.00 μB/f.u.
data_LiYC
_symmetry_space_group_name_H-M 'F -4 3 m'
_symmetry_Int_Tables_number 216
_symmetry_space_group_name_Hall 'F -4 2 3'
_cell_length_a 5.7449
_cell_length_b 5.7449
_cell_length_c 5.7449
_cell_angle_alpha 90.00
_cell_angle_beta 90.00
_cell_angle_gamma 90.00
loop_
_atom_site_label
_atom_site_fract_x
_atom_site_fract_y
_atom_site_fract_z
Li1 0.0000 0.0000 0.0000
Y1 0.2500 0.2500 0.2500
C1 0.0000 0.0000 0.5000

=====

# DyHo3Tc, optimized geometry, DFT PBE
# **Theoretical density**: 9.14 Mg/m³
# **DOS at the Fermi energy**: 20.1 states/eV per cell
# **E_form**: -73 meV/atom
# **E above lowest polymorph**: 0.000 eV/f.u.
# **Total moment**: 0.00 μB/f.u.
data_DyHo3Tc
_symmetry_space_group_name_H-M 'C 1 m 1'
_symmetry_Int_Tables_number 8
_symmetry_space_group_name_Hall 'C -2y'
_cell_length_a 12.0185
_cell_length_b 3.8785
_cell_length_c 12.7367
_cell_angle_alpha 90.00
_cell_angle_beta 112.41
_cell_angle_gamma 90.00
loop_
_atom_site_label
_atom_site_fract_x
_atom_site_fract_y
_atom_site_fract_z
Dy1 0.0000 0.0000 0.0000
Dy2 0.1165 0.0000 0.2833
Ho1 0.1277 0.0000 0.6170
Ho2 0.2449 0.0000 0.8993
Ho3 0.2741 0.5000 0.1440
Ho4 0.3019 0.5000 0.5197
Ho5 0.4420 0.0000 0.3808
Ho6 0.4706 0.0000 0.7554
Tc1 0.3028 0.5000 0.7542
Tc2 0.4411 0.0000 0.1450

=====

# RbTe2PN, optimized geometry, DFT PBE
# **Theoretical density**: 2.49 Mg/m³
# **DOS at the Fermi energy**: 6.8 states/eV per cell
# **Uncorrected energy**: -2.21 eV/atom
# **Total moment**: 2.55 μB/f.u.
data_RbTe2PN
_symmetry_space_group_name_H-M 'P 4/m m m'
_symmetry_Int_Tables_number 123
_symmetry_space_group_name_Hall '-P 4 2'
_cell_length_a 6.9005
_cell_length_b 6.9005
_cell_length_c 5.3999
_cell_angle_alpha 90.00
_cell_angle_beta 90.00
_cell_angle_gamma 90.00
loop_
_atom_site_label
_atom_site_fract_x
_atom_site_fract_y
_atom_site_fract_z
Rb1 0.0000 0.0000 0.0000
Te1 0.0000 0.5000 0.0000
P1 0.5000 0.5000 0.5000
N1 0.0000 0.0000 0.5000

=====

# AcCd5P4, optimized geometry, DFT PBE
# **Theoretical density**: 6.07 Mg/m³
# **DOS at the Fermi energy**: 5.0 states/eV per cell
# **E_form**: -229 meV/atom
# **Total moment**: 0.00 μB/f.u.
data_AcCd5P4
_symmetry_space_group_name_H-M 'I m m m'
_symmetry_Int_Tables_number 71
_symmetry_space_group_name_Hall '-I 2 2'
_cell_length_a 4.2934
_cell_length_b 7.7607
_cell_length_c 14.9832
_cell_angle_alpha 90.00
_cell_angle_beta 90.00
_cell_angle_gamma 90.00
loop_
_atom_site_label
_atom_site_fract_x
_atom_site_fract_y
_atom_site_fract_z
Ac1 0.0000 0.0000 0.0000
Cd1 0.0000 0.2745 0.3259
Cd2 0.0000 0.5000 0.0000
P1 0.0000 0.0000 0.2134
P2 0.0000 0.2229 0.5000